(1)
CaMoN3: optimized geometry, PBE-GGA.

Output
space group: Cm (8)
raw total energy: -8.107 eV per atom
ΔE_f (raw): -0.55 eV/atom
spin magnetization: 0.0 μB per formula unit

Structure (CIF):
```
data_CaMoN3
_space_group_name_H-M_alt 'P 1'
_space_group_IT_number 1
_cell_length_a 3.7155
_cell_length_b 6.5001
_cell_length_c 6.5296
_cell_angle_alpha 88.89
_cell_angle_beta 73.45
_cell_angle_gamma 73.38
loop_
_space_group_symop_operation_xyz
'x,y,z'
loop_
_atom_site_label
_atom_site_type_symbol
_atom_site_fract_x
_atom_site_fract_y
_atom_site_fract_z
Ca1 Ca 0.7509 0.1049 0.8364
Ca2 Ca 0.6056 0.9180 0.3134
Mo1 Mo 0.1073 0.5772 0.6506
Mo2 Mo 0.9019 0.3451 0.2929
N1 N 0.6585 0.4544 0.6709
N2 N 0.0336 0.8365 0.5386
N3 N 0.8735 0.5735 0.1210
N4 N 0.9017 0.6813 0.9575
N5 N 0.3573 0.3111 0.4164
N6 N 0.1167 0.1120 0.0975
```

---

(2)
NbMo2IrN: optimized geometry, PBE-GGA.

Output
space group: P4/mmm (123)
raw total energy: -10.139 eV per atom
ΔE_f (raw): -0.36 eV/atom
spin magnetization: 0.0 μB per formula unit

Structure (CIF):
```
data_NbMo2IrN
_space_group_name_H-M_alt 'P 1'
_space_group_IT_number 1
_cell_length_a 4.0937
_cell_length_b 4.0937
_cell_length_c 4.2330
_cell_angle_alpha 90.00
_cell_angle_beta 90.00
_cell_angle_gamma 90.00
loop_
_space_group_symop_operation_xyz
'x,y,z'
loop_
_atom_site_label
_atom_site_type_symbol
_atom_site_fract_x
_atom_site_fract_y
_atom_site_fract_z
Nb1 Nb 0.0000 0.0000 0.5000
N1 N 0.0000 0.0000 0.0000
Ir1 Ir 0.5000 0.5000 0.5000
Mo1 Mo 0.0000 0.5000 0.0000
Mo2 Mo 0.5000 0.0000 0.0000
```